1.
Entry from Alexandria via LeMat-Bulk: AcTm2Sn after structural relaxation (PBE).

Lattice parameters (Å, degrees): 3.8282 3.8282 8.5976 90.00 90.00 90.00
Space group P4/mmm (No. 123)
Asymmetric unit:
Ac  0.0000  0.0000  0.0000 x1
Tm  0.5000  0.5000  0.2976 x2
Sn  0.0000  0.0000  0.5000 x1

Summary:
Offset from the most stable computed form = 0.13 eV/f.u.
ΔH_f (0 K) = -1.082 eV per formula unit
Density of states at the Fermi level = 1.18 states/eV/atom

2.
Entry from Alexandria via LeMat-Bulk: Ag2BiH2 after structural relaxation (PBE).

Lattice parameters (Å, degrees): 3.4244 3.4244 13.1587 90.00 90.00 90.00
Space group I4/mmm (No. 139)
Asymmetric unit:
Ag  0.0000  0.0000  0.1719 x4
Bi  0.0000  0.0000  0.5000 x2
H  0.0000  0.5000  0.2500 x4

Summary:
E = -2.8978 eV per atom
Density of states at the Fermi level = 0.44 states/eV/atom

3.
Entry from Alexandria via LeMat-Bulk: Sc2B after structural relaxation (PBE).

Lattice parameters (Å, degrees): 5.9354 5.9354 5.9354 90.00 90.00 90.00
Space group Fm-3m (No. 225)
Asymmetric unit:
Sc  0.2500  0.2500  0.2500 x8
B  0.0000  0.0000  0.0000 x4

Summary:
Offset from the most stable computed form = 0.00 eV/f.u.
ΔH_f (0 K) = -0.446 eV per formula unit
Density of states at the Fermi level = 0.87 states/eV/atom

4.
Entry from Alexandria via LeMat-Bulk: BaLiCdAu after structural relaxation (PBE).

Lattice parameters (Å, degrees): 8.3047 4.7932 6.3759 90.00 115.53 90.00
Space group Cm (No. 8)
Asymmetric unit:
Ba  0.0000  0.0000  0.0000 x2
Li  0.0139  0.5000  0.5424 x2
Cd  0.3008  0.5000  0.4031 x2
Au  0.1980  0.0000  0.5960 x2

Summary:
Offset from the most stable computed form = 0.00 eV/f.u.
ΔH_f (0 K) = -1.871 eV per formula unit
Density of states at the Fermi level = 0.64 states/eV/atom

5.
Entry from Alexandria via LeMat-Bulk: ThTlP after structural relaxation (PBE).

Lattice parameters (Å, degrees): 4.2058 4.2058 8.7653 90.00 90.00 90.00
Space group P4/nmm (No. 129, origin choice 2)
Asymmetric unit:
Th  0.2500  0.2500  0.1651 x2
Tl  0.2500  0.7500  0.5000 x2
P  0.2500  0.2500  0.8391 x2

Summary:
ΔH_f (0 K) = -2.238 eV per formula unit
Density of states at the Fermi level = 0.91 states/eV/atom

6.
Entry from Alexandria via LeMat-Bulk: ZrCdMo2 after structural relaxation (PBE).

Lattice parameters (Å, degrees): 4.0369 4.0369 4.4708 90.00 90.00 90.00
Space group P4/mmm (No. 123)
Asymmetric unit:
Zr  0.0000  0.0000  0.0000 x1
Cd  0.5000  0.5000  0.0000 x1
Mo  0.0000  0.5000  0.5000 x2

Summary:
ΔH_f (0 K) = 1.018 eV per formula unit
Density of states at the Fermi level = 0.87 states/eV/atom

7.
Entry from Alexandria via LeMat-Bulk: PmSiBiO5 after structural relaxation (PBE).

Lattice parameters (Å, degrees): 6.7526 9.5585 7.8197 90.00 107.79 90.00
Space group C2/c (No. 15)
Asymmetric unit:
Pm  0.0000  0.0000  0.0000 x4
Si  0.0000  0.3151  0.2500 x4
Bi  0.0000  0.3396  0.7500 x4
O  0.0000  0.1185  0.7500 x4
O  0.1365  0.2062  0.1616 x8
O  0.1458  0.4160  0.4118 x8

Summary:
Formation energy without anion corrections = -2.434 eV per atom
Density of states at the Fermi level = 0.00 states/eV/atom

8.
Entry from Alexandria via LeMat-Bulk: TlCd2InHg5 after structural relaxation (PBE).

Lattice parameters (Å, degrees): 3.4350 17.3411 15.9581 90.00 90.00 90.00
Space group Cmc2_1 (No. 36)
Asymmetric unit:
Tl  0.0000  0.0428  0.0000 x4
Cd  0.0000  0.3683  0.9972 x4
Cd  0.0000  0.4185  0.3172 x4
In  0.0000  0.2834  0.5775 x4
Hg  0.0000  0.0798  0.3437 x4
Hg  0.0000  0.1107  0.6589 x4
Hg  0.0000  0.2150  0.9019 x4
Hg  0.0000  0.2326  0.2446 x4
Hg  0.0000  0.4430  0.6772 x4

Summary:
ΔH_f (0 K) = 0.097 eV per formula unit
Density of states at the Fermi level = 0.25 states/eV/atom

9.
Entry from Alexandria via LeMat-Bulk: Ac2TmCuPd6 after structural relaxation (PBE).

Lattice parameters (Å, degrees): 10.1313 5.8458 8.9578 90.00 112.08 90.00
Space group C2/m (No. 12)
Asymmetric unit:
Ac  0.2102  0.0000  0.1317 x4
Tm  0.0000  0.0000  0.5000 x2
Cu  0.0000  0.5000  0.0000 x2
Pd  0.0085  0.2473  0.7713 x8
Pd  0.2443  0.5000  0.2293 x4

Summary:
ΔH_f (0 K) = -5.549 eV per formula unit
Density of states at the Fermi level = 0.46 states/eV/atom

10.
Entry from Alexandria via LeMat-Bulk: CaPrOs after structural relaxation (PBE).

Lattice parameters (Å, degrees): 15.5976 4.1609 5.8586 90.00 101.90 90.00
Space group C2/m (No. 12)
Asymmetric unit:
Ca  0.0831  0.0000  0.2981 x4
Pr  0.1591  0.5000  0.8550 x4
Os  0.2473  0.5000  0.3913 x4

Summary:
ΔH_f (0 K) = 0.069 eV per formula unit
Density of states at the Fermi level = 0.91 states/eV/atom

11.
Entry from Alexandria via LeMat-Bulk: Pr3ICl2O6 after structural relaxation (PBE).

Lattice parameters (Å, degrees): 12.2490 6.9835 5.6465 90.00 99.36 90.00
Space group C2/m (No. 12)
Asymmetric unit:
Pr  0.0000  0.0000  0.0000 x2
Pr  0.2500  0.2500  0.5000 x4
I  0.0000  0.5000  0.5000 x2
Cl  0.2080  0.0000  0.8611 x4
O  0.0611  0.2557  0.2972 x8
O  0.1638  0.5000  0.6683 x4

Summary:
Formation energy without anion corrections = -1.929 eV per atom

12.
Entry from Alexandria via LeMat-Bulk: Fe6NiPt12 after structural relaxation (PBE).

Lattice parameters (Å, degrees): 11.9439 11.9439 6.7155 90.00 90.00 120.00
Space group R-3 (No. 148, hexagonal axes)
Asymmetric unit:
Fe  0.0308  0.7526  0.3368 x18
Ni  0.0000  0.0000  0.0000 x3
Pt  0.0108  0.8701  0.6647 x18
Pt  0.0669  0.5069  0.6718 x18

Summary:
ΔH_f (0 K) = -3.575 eV per formula unit
Density of states at the Fermi level = 1.04 states/eV/atom

13.
Entry from Alexandria via LeMat-Bulk: FeSeBr2 after structural relaxation (PBE).

Lattice parameters (Å, degrees): 3.1274 3.1274 10.9870 90.00 90.00 90.00
Space group P4/mmm (No. 123)
Asymmetric unit:
Fe  0.0000  0.0000  0.0000 x1
Se  0.0000  0.0000  0.5000 x1
Br  0.5000  0.5000  0.1483 x2

Summary:
Offset from the most stable computed form = 1.78 eV/f.u.
Formation energy without anion corrections = 0.248 eV per atom
Density of states at the Fermi level = 0.86 states/eV/atom

14.
Entry from Alexandria via LeMat-Bulk: Sm2Y3Tl4 after structural relaxation (PBE).

Lattice parameters (Å, degrees): 7.2313 16.3256 9.2593 90.00 90.00 90.00
Space group Cmce (No. 64)
Asymmetric unit:
Sm  0.0000  0.1101  0.0747 x8
Y  0.0000  0.0000  0.5000 x4
Y  0.2500  0.2117  0.7500 x8
Tl  0.0000  0.1891  0.4593 x8
Tl  0.2500  0.0238  0.7500 x8

Summary:
Offset from the most stable computed form = 0.68 eV/f.u.
ΔH_f (0 K) = -2.205 eV per formula unit
Density of states at the Fermi level = 0.75 states/eV/atom

no.,total magnetic moment (μB per atom)
1,0.000
2,0.000
3,0.000
4,0.000
5,0.000
6,0.000
7,0.000
8,0.000
9,0.000
10,0.000
11,0.000
12,1.224
13,0.993
14,0.000